[1]
Material: MgTaNi2
Method: DFT, PBE
State: optimized geometry

The calculation puts the total energy at -6.220 eV per atom.

Lattice parameters (Å, degrees): 4.848 4.848 4.848 134.73 134.73 65.95
Sites, in units of the cell vectors:
Mg (0.000, 0.000, 0.000)
Ta (0.750, 0.250, 0.500)
Ni (0.250, 0.750, 0.500)
Ni (0.500, 0.500, 0.000)

[2]
Material: Mg2TaNi
Method: DFT, PBE
State: optimized geometry

The calculation puts the total energy at -5.069 eV per atom.

Lattice parameters (Å, degrees): 2.823 4.168 5.979 90.00 103.47 90.00
Sites, in units of the cell vectors:
Mg (0.000, 0.000, 0.000)
Mg (0.377, 0.500, 0.743)
Ta (0.742, 0.000, 0.456)
Ni (0.170, 0.500, 0.279)

| no. | ΔE_f (eV/atom) |
| --- | --- |
| 1 | 0.03 |
| 2 | 0.14 |